# LaTe2P

An optimized crystal structure of LaTe2P (GGA-PBE, Alexandria). Values from VASP.

Structure (Quantum ESPRESSO input):
```
&SYSTEM
  ibrav = 0, nat = 4, ntyp = 3
/
ATOMIC_SPECIES
P 30.97 P.upf
Te 127.60 Te.upf
La 138.91 La.upf
CELL_PARAMETERS angstrom
-1.860 6.945 6.566
2.113 7.033 6.393
-0.040 9.008 3.694
ATOMIC_POSITIONS crystal
P 0.500 0.500 0.500
Te 0.889 0.889 0.889
Te 0.111 0.111 0.111
La 0.000 0.000 0.000
```

Output
Its formation energy without anion corrections is -21 meV per atom. As for the volume: 32.40 A^3/atom. As for the space-group type: R-3m (166).